Record 1
The following is a DFT calculation (PBEsol) of a geometry-optimized ZnFeTe3 structure.

```
5
Lattice="-1.4381 4.0954 -2.7839 -3.9009 -2.7226 -1.9902 -3.0504 1.5509 3.8574" Properties=species:S:1:pos:R:3 pbc="T T T"
Te -1.5252 0.7755 1.9287
Te -1.9504 -1.3613 -0.9951
Te -0.7190 2.0477 -1.3919
Zn 0.0000 0.0000 0.0000
Fe -4.1947 1.4618 -0.4583
```

Properties
Space group ... Pm-3m
Calculated volume ... 137 Å³ per cell
ΔE_f (raw) ... 0.98 eV/atom

Record 2
The following is a DFT calculation (PBEsol) of a geometry-optimized ZnFe2Te structure.

```
4
Lattice="4.3717 0.0000 0.0000 2.1858 3.7860 0.0000 2.1858 1.2620 3.5695" Properties=species:S:1:pos:R:3 pbc="T T T"
Zn 2.1858 1.2620 0.8924
Fe 0.0000 0.0000 0.0000
Fe 6.5575 3.7860 2.6771
Te 4.3717 2.5240 1.7847
```

Properties
Space group ... F-43m
Calculated volume ... 59 Å³ per cell
ΔE to the lowest computed polymorph ... 183 meV/atom
ΔE_f (raw) ... 0.48 eV/atom